(1)
# Hf2Ni3As3 | the Open Quantum Materials Database | PBE | relaxed
data_Hf2Ni3As3
_chemical_formula_sum 'Hf8 Ni12 As12'
_cell_length_a 12.717
_cell_length_b 3.724
_cell_length_c 10.358
_cell_angle_alpha 90.00
_cell_angle_beta 90.00
_cell_angle_gamma 90.00
_space_group_name_H-M_alt 'P n m a'
_space_group_IT_number 62
loop_
_space_group_symop_operation_xyz
'x,y,z'
'-x,-y,-z'
'-x+1/2,-y,z+1/2'
'x+1/2,y,-z+1/2'
'x+1/2,-y+1/2,-z+1/2'
'-x+1/2,y+1/2,z+1/2'
'-x,y+1/2,-z'
'x,-y+1/2,z'
loop_
_atom_site_label
_atom_site_fract_x
_atom_site_fract_y
_atom_site_fract_z
_atom_site_occupancy
Hf1 0.005 0.250 0.169 1
Hf2 0.210 0.750 0.573 1
Ni1 0.015 0.250 0.597 1
Ni2 0.166 0.750 0.274 1
Ni3 0.217 0.750 0.862 1
As1 0.103 0.250 0.400 1
As2 0.124 0.750 0.052 1
As3 0.143 0.250 0.760 1
# Calculated volume, A^3/atom: 15.33
# Magnetic moment, Bohr magnetons per cell: 0.01
# Raw total energy, eV per atom: -7.04



(2)
# Hf3Ni3As4 | the Open Quantum Materials Database | PBE | relaxed
data_Hf3Ni3As4
_chemical_formula_sum 'Hf12 Ni12 As16'
_cell_length_a 8.620
_cell_length_b 8.620
_cell_length_c 8.620
_cell_angle_alpha 90.00
_cell_angle_beta 90.00
_cell_angle_gamma 90.00
_space_group_name_H-M_alt 'I -4 3 d'
_space_group_IT_number 220
_space_group_name_Hall 'I -4bd 2c 3'
loop_
_atom_site_label
_atom_site_fract_x
_atom_site_fract_y
_atom_site_fract_z
_atom_site_occupancy
Hf1 0.000 0.250 0.875 1
Ni1 0.000 0.250 0.375 1
As1 0.082 0.418 0.582 1
# Calculated volume, A^3/atom: 16.01
# Magnetic moment, Bohr magnetons per cell: 0.01
# Raw total energy, eV per atom: -7.31



(3)
# Hf2NiAs2 | the Open Quantum Materials Database | PBE | relaxed
data_Hf2NiAs2
_chemical_formula_sum 'Hf4 Ni2 As4'
_cell_length_a 3.655
_cell_length_b 3.655
_cell_length_c 13.624
_cell_angle_alpha 90.00
_cell_angle_beta 90.00
_cell_angle_gamma 90.00
_space_group_name_H-M_alt 'I 4/m m m'
_space_group_IT_number 139
_space_group_name_Hall '-I 4 2'
loop_
_atom_site_label
_atom_site_fract_x
_atom_site_fract_y
_atom_site_fract_z
_atom_site_occupancy
Hf1 0.000 0.000 0.102 1
Ni1 0.000 0.000 0.500 1
As1 0.000 0.500 0.250 1
# Calculated volume, A^3/atom: 18.20
# Magnetic moment, Bohr magnetons per cell: 0.59
# Raw total energy, eV per atom: -7.08



(4)
# Hf3Ni4As4 | the Open Quantum Materials Database | PBE | relaxed
data_Hf3Ni4As4
_chemical_formula_sum 'Hf3 Ni4 As4'
_cell_length_a 6.401
_cell_length_b 3.807
_cell_length_c 7.247
_cell_angle_alpha 90.00
_cell_angle_beta 90.02
_cell_angle_gamma 90.00
_space_group_name_H-M_alt 'P 1 m 1'
_space_group_IT_number 6
loop_
_space_group_symop_operation_xyz
'x,y,z'
'x,-y,z'
loop_
_atom_site_label
_atom_site_fract_x
_atom_site_fract_y
_atom_site_fract_z
_atom_site_occupancy
Hf1 0.000 0.000 0.000 1
Hf2 0.056 0.500 0.377 1
Hf3 0.509 0.000 0.867 1
Ni1 0.167 0.500 0.747 1
Ni2 0.388 0.000 0.244 1
Ni3 0.681 0.500 0.127 1
Ni4 0.913 0.000 0.625 1
As1 0.298 0.000 0.561 1
As2 0.298 0.500 0.064 1
As3 0.759 0.000 0.318 1
As4 0.787 0.500 0.789 1
# Calculated volume, A^3/atom: 16.06
# Offset from the most stable computed form, meV/atom: 0
# Magnetic moment, Bohr magnetons per cell: 0.01
# Raw total energy, eV per atom: -7.18



(5)
# Hf3Ni4As4 | the Open Quantum Materials Database | PBE | relaxed
data_Hf3Ni4As4
_chemical_formula_sum 'Hf6 Ni8 As8'
_cell_length_a 5.790
_cell_length_b 5.790
_cell_length_c 11.475
_cell_angle_alpha 90.00
_cell_angle_beta 90.00
_cell_angle_gamma 90.00
_space_group_name_H-M_alt 'I -4 2 m'
_space_group_IT_number 121
_space_group_name_Hall 'I -4 2'
loop_
_atom_site_label
_atom_site_fract_x
_atom_site_fract_y
_atom_site_fract_z
_atom_site_occupancy
Hf1 0.000 0.000 0.000 1
Hf2 0.000 0.500 0.250 1
Ni1 0.248 0.248 0.625 1
As1 0.000 0.000 0.255 1
As2 0.000 0.500 0.000 1
# Calculated volume, A^3/atom: 17.49
# Offset from the most stable computed form, meV/atom: 50
# Magnetic moment, Bohr magnetons per cell: 0.00
# Raw total energy, eV per atom: -7.13



(6)
# HfNi2As | the Open Quantum Materials Database | PBE | relaxed
data_HfNi2As
_chemical_formula_sum 'Hf4 Ni8 As4'
_cell_length_a 6.137
_cell_length_b 6.137
_cell_length_c 6.137
_cell_angle_alpha 90.00
_cell_angle_beta 90.00
_cell_angle_gamma 90.00
_space_group_name_H-M_alt 'F -4 3 m'
_space_group_IT_number 216
_space_group_name_Hall 'F -4 2 3'
loop_
_atom_site_label
_atom_site_fract_x
_atom_site_fract_y
_atom_site_fract_z
_atom_site_occupancy
Hf1 0.000 0.000 0.000 1
Ni1 0.000 0.000 0.500 1
Ni2 0.250 0.250 0.250 1
As1 0.250 0.250 0.750 1
# Calculated volume, A^3/atom: 14.45
# Magnetic moment, Bohr magnetons per cell: 0.00
# Raw total energy, eV per atom: -6.74



(7)
# HfNiAs2 | the Open Quantum Materials Database | PBE | relaxed
data_HfNiAs2
_chemical_formula_sum 'Hf4 Ni4 As8'
_cell_length_a 6.459
_cell_length_b 6.459
_cell_length_c 6.459
_cell_angle_alpha 90.00
_cell_angle_beta 90.00
_cell_angle_gamma 90.00
_space_group_name_H-M_alt 'F -4 3 m'
_space_group_IT_number 216
_space_group_name_Hall 'F -4 2 3'
loop_
_atom_site_label
_atom_site_fract_x
_atom_site_fract_y
_atom_site_fract_z
_atom_site_occupancy
Hf1 0.000 0.000 0.000 1
Ni1 0.250 0.250 0.750 1
As1 0.000 0.000 0.500 1
As2 0.250 0.250 0.250 1
# Calculated volume, A^3/atom: 16.84
# Magnetic moment, Bohr magnetons per cell: 0.01
# Raw total energy, eV per atom: -6.27



(8)
# Hf2NiAsP | the Open Quantum Materials Database | PBE | relaxed
data_Hf2NiAsP
_chemical_formula_sum 'Hf4 Ni2 As2 P2'
_cell_length_a 3.8748
_cell_length_b 3.8748
_cell_length_c 12.6970
_cell_angle_alpha 90.00
_cell_angle_beta 90.00
_cell_angle_gamma 120.00
_space_group_name_H-M_alt 'P 63/m m c'
_space_group_IT_number 194
_space_group_name_Hall '-P 6c 2c'
loop_
_atom_site_label
_atom_site_fract_x
_atom_site_fract_y
_atom_site_fract_z
_atom_site_occupancy
Hf1 0.3333 0.6667 0.1052 1
Ni1 0.0000 0.0000 0.2500 1
As1 0.3333 0.6667 0.7500 1
P1 0.0000 0.0000 0.0000 1
# Calculated volume, A^3/atom: 16.51
# Offset from the most stable computed form, meV/atom: 38
# Magnetic moment, Bohr magnetons per cell: 0.00
# Raw total energy, eV per atom: -8.13